A plane-wave DFT calculation with PBE-GGA was carried out for crystalline InAg2Se at its relaxed geometry.

Properties
**Total DFT energy (no corrections)**: -2.987 eV per atom
**DOS(E_F)**: 0.97 states/eV per cell

Lattice parameters (Å, degrees): 4.7078 4.7078 5.5413 103.67 103.67 46.95
With the nearest neighbours (Å) after each atom.
Positions (direct):
In1 0.0000 0.0000 0.0000  6 Ag 2.84-2.95
Ag1 0.2468 0.2468 0.7467  3 In 2.84-2.95, 3 Se 2.86-2.90
Ag2 0.7532 0.7532 0.2533  3 In 2.84-2.95, 3 Se 2.86-2.90
Se1 0.5000 0.5000 0.5000  6 Ag 2.86-2.90

A plane-wave DFT calculation with PBE-GGA was carried out for crystalline LiAl6Rh5 at its relaxed geometry.

Properties
**Energy of formation**: -92 kJ per mole of atoms
**Total DFT energy (no corrections)**: -6.043 eV per atom
**DOS(E_F)**: 4.37 states/eV per cell

Lattice parameters (Å, degrees): 6.7789 6.7789 5.9338 90.00 90.00 143.29
With the nearest neighbours (Å) after each atom.
Positions (direct):
Li1 0.0000 0.0000 0.0000  8 Al 2.60-2.62
Al1 0.1680 0.8320 0.2491  7 Rh 2.60-2.63, 1 Li 2.62
Al2 0.1680 0.8320 0.7509  7 Rh 2.60-2.63, 1 Li 2.62
Al3 0.5000 0.5000 0.2488  6 Rh 2.58-2.60, 2 Li 2.60
Al4 0.5000 0.5000 0.7512  6 Rh 2.58-2.60, 2 Li 2.60
Al5 0.8320 0.1680 0.2491  7 Rh 2.60-2.63, 1 Li 2.62
Al6 0.8320 0.1680 0.7509  7 Rh 2.60-2.63, 1 Li 2.62
Rh1 0.0000 0.0000 0.5000  8 Al 2.60-2.63
Rh2 0.3340 0.6660 0.5000  8 Al 2.60
Rh3 0.3358 0.6642 0.0000  8 Al 2.58-2.62
Rh4 0.6642 0.3358 0.0000  8 Al 2.58-2.62
Rh5 0.6660 0.3340 0.5000  8 Al 2.60

A plane-wave DFT calculation with PBE-GGA was carried out for crystalline TaNbRe3 at its relaxed geometry.

Properties
**Energy of formation**: 199 kJ per mole of atoms
**Total DFT energy (no corrections)**: -9.791 eV per atom
**DOS(E_F)**: 3.06 states/eV per cell
**Relative energy among the computed polymorphs**: 0 meV per atom

Lattice parameters (Å, degrees): 4.6931 4.6931 4.6931 90.00 90.00 90.00
With the nearest neighbours (Å) after each atom.
Positions (direct):
Ta1 0.0000 0.0000 0.0000  6 Re 2.35
Nb1 0.5000 0.5000 0.5000  12 Re 3.32
Re1 0.0000 0.0000 0.5000  2 Ta 2.35
Re2 0.0000 0.5000 0.0000  2 Ta 2.35
Re3 0.5000 0.0000 0.0000  2 Ta 2.35

A plane-wave DFT calculation with PBE-GGA was carried out for crystalline TaTlBr2 at its relaxed geometry.

Properties
**Total DFT energy (no corrections)**: -4.235 eV per atom
**DOS(E_F)**: 3.49 states/eV per cell
**Relative energy among the computed polymorphs**: 361 meV per atom

Lattice parameters (Å, degrees): 8.3520 8.3520 8.3520 157.86 147.22 39.91
With the nearest neighbours (Å) after each atom.
Positions (direct):
Ta1 0.0000 0.0000 0.0000  6 Br 2.62-2.89
Tl1 0.1803 0.6803 0.5000  2 Tl 3.21, 2 Ta 3.25, 2 Br 3.32
Br1 0.5313 0.5313 0.0000  4 Ta 2.89, 2 Br 3.21
Br2 0.8678 0.3678 0.5000  2 Ta 2.62